(1)
VASP calculation (PBE) on a relaxed structure of Mg6Ni2Ir.

Cell: 7.4002 7.4002 7.4002 Å, 105.25 112.87 110.39°
Fractional positions:
Mg (0.5393, 0.7217, 0.8176)
Mg (0.4607, 0.2783, 0.1824)
Mg (0.0959, 0.2783, 0.8176)
Mg (0.9041, 0.7217, 0.1824)
Mg (0.8088, 0.7524, 0.5612)
Mg (0.1912, 0.2476, 0.4388)
Mg (0.1912, 0.7524, 0.9436)
Mg (0.8088, 0.2476, 0.0564)
Mg (0.7123, 0.3773, 0.6650)
Mg (0.2877, 0.6227, 0.3350)
Mg (0.2877, 0.9528, 0.6650)
Mg (0.7123, 0.0472, 0.3350)
Ni (0.5000, 0.3701, 0.8701)
Ni (0.5000, 0.6299, 0.1299)
Ni (0.6535, 0.0000, 0.6535)
Ni (0.3465, 0.0000, 0.3465)
Ir (0.0000, 0.5000, 0.5000)
Ir (0.0000, 0.0000, 0.0000)

Values from the calculation:
Fermi-level density of states in states/eV/atom: 0.5566
Formation energy in eV per atom: -0.210
Space group: Immm (71)
V in Å³ per cell: 310.6
Total moment in μB per formula unit: 0.0

(2)
VASP calculation (PBE) on a relaxed structure of LaMgTc2.

Cell: 2.7933 2.7933 9.6214 Å, 90.00 90.00 90.00°
Fractional positions:
La (0.5000, 0.5000, 0.2500)
Mg (0.5000, 0.5000, 0.7500)
Tc (0.0000, 0.0000, 0.9730)
Tc (0.0000, 0.0000, 0.5270)

Values from the calculation:
Fermi-level density of states in states/eV/atom: 1.3834
Formation energy in eV per atom: 0.583
Space group: P4/mmm (123)
V in Å³ per cell: 75.1
Total moment in μB per formula unit: 0.0

(3)
VASP calculation (PBE) on a relaxed structure of Na3Zn5Ge2.

Cell: 5.8158 9.2801 9.2801 Å, 65.02 71.74 71.74°
Fractional positions:
Na (0.2500, 0.0000, 0.0000)
Na (0.7500, 0.0000, 0.0000)
Na (0.3530, 0.4187, 0.8752)
Na (0.6470, 0.5813, 0.1248)
Na (0.8530, 0.8752, 0.4187)
Na (0.1470, 0.1248, 0.5813)
Zn (0.2500, 0.5000, 0.5000)
Zn (0.7500, 0.5000, 0.5000)
Zn (0.4655, 0.7845, 0.7845)
Zn (0.0345, 0.2155, 0.2155)
Zn (0.5345, 0.2155, 0.2155)
Zn (0.9655, 0.7845, 0.7845)
Zn (0.1406, 0.4398, 0.2790)
Zn (0.8594, 0.5602, 0.7210)
Zn (0.6406, 0.2790, 0.4398)
Zn (0.3594, 0.7210, 0.5602)
Ge (0.1335, 0.6944, 0.0387)
Ge (0.8665, 0.3056, 0.9613)
Ge (0.6335, 0.0387, 0.6944)
Ge (0.3665, 0.9613, 0.3056)

Values from the calculation:
Fermi-level density of states in states/eV/atom: 0.3745
Formation energy in eV per atom: 0.005
Space group: Ibam (72)
V in Å³ per cell: 421.5
Total moment in μB per formula unit: 0.0

(4)
VASP calculation (PBE) on a relaxed structure of AgSb2.

Cell: 8.0163 8.0163 4.1218 Å, 90.00 90.00 120.00°
Fractional positions:
Ag (0.3333, 0.6667, 0.0000)
Ag (0.6667, 0.3333, 0.0000)
Ag (0.0000, 0.0000, 0.5000)
Sb (0.2757, 0.0000, 0.0000)
Sb (0.0000, 0.2757, 0.0000)
Sb (0.7243, 0.7243, 0.0000)
Sb (0.5495, 0.0000, 0.5000)
Sb (0.0000, 0.5495, 0.5000)
Sb (0.4505, 0.4505, 0.5000)

Values from the calculation:
Fermi-level density of states in states/eV/atom: 0.3542
Space group: P-62m (189)
V in Å³ per cell: 229.4
ΔE_f (raw) in kJ/mol of atoms: 17.7
Total moment in μB per formula unit: 0.0

Question: Look up the V of the second one.
Answer: 75.1 Å³ per cell